<A>
DFT (meta-GGA SCAN) results for InAs2Br at its PBEsol-relaxed geometry.

POSCAR file:
```
InAs2Br
1.0
3.5806 0.0000 0.0000
0.0035 5.0748 0.0000
0.0145 1.6534 5.6061
In As Br
1 2 1
direct
0.0000 0.0000 0.0000
0.0008 0.8814 0.5223
0.5009 0.5408 0.6029
0.5007 0.4696 0.1293
```

N(E_F), states/eV per cell: 0.2
Total moment, μB/cell: 0.000
SG: P1

=====

<B>
DFT (meta-GGA SCAN) results for InAs2Br at its PBEsol-relaxed geometry.

POSCAR file:
```
InAs2Br
1.0
-2.4703 2.4703 3.4592
2.4703 -2.4703 3.4592
2.4703 2.4703 -3.4592
In As Br
1 2 1
direct
0.0000 0.0000 0.0000
0.2500 0.7500 0.5000
0.7500 0.2500 0.5000
0.5000 0.5000 0.0000
```

N(E_F), states/eV per cell: 1.9
Total moment, μB/cell: 0.000
SG: I4/mmm

=====

The structure with the least stability is <B>.

=====

<A>
DFT (meta-GGA SCAN) results for AsIr2Br at its PBEsol-relaxed geometry.

POSCAR file:
```
AsIr2Br
1.0
-3.0210 3.0210 4.5309
3.0210 -3.0210 4.5309
3.0210 3.0210 -4.5309
As Ir Br
2 4 2
direct
0.0000 0.0000 0.0000
0.7500 0.2500 0.5000
0.1037 0.1250 0.4787
0.3750 0.8963 0.0213
0.6463 0.6250 0.5213
0.8750 0.3537 0.9787
0.2500 0.7500 0.5000
0.5000 0.5000 0.0000
```

N(E_F), states/eV per cell: 6.2
Total moment, μB/cell: 0.000
SG: I-42d

=====

<B>
DFT (meta-GGA SCAN) results for AsIr2Br at its PBEsol-relaxed geometry.

POSCAR file:
```
AsIr2Br
1.0
1.5358 0.8867 7.9819
-1.5358 0.8867 7.9819
0.0000 -1.7733 7.9819
As Ir Br
1 2 1
direct
0.0000 0.0000 0.0000
0.2610 0.2610 0.2610
0.7390 0.7390 0.7390
0.5000 0.5000 0.5000
```

N(E_F), states/eV per cell: 3.8
Total moment, μB/cell: 0.000
SG: R-3m

=====

<C>
DFT (meta-GGA SCAN) results for AsIr2Br at its PBEsol-relaxed geometry.

POSCAR file:
```
AsIr2Br
1.0
0.0000 3.1927 3.1927
3.1927 0.0000 3.1927
3.1927 3.1927 0.0000
As Ir Br
1 2 1
direct
0.0000 0.0000 0.0000
0.2500 0.2500 0.2500
0.5000 0.5000 0.5000
0.7500 0.7500 0.7500
```

N(E_F), states/eV per cell: 1.5
Total moment, μB/cell: 0.000
SG: F-43m

=====

The structure with the least stability is <C>.

=====

<A>
DFT (meta-GGA SCAN) results for AsIr2Br at its PBEsol-relaxed geometry.

POSCAR file:
```
AsIr2Br
1.0
2.9120 0.0000 0.0000
0.0000 2.9120 0.0000
0.0000 0.0000 8.3608
As Ir Br
1 2 1
direct
0.0000 0.0000 0.0000
0.0000 0.0000 0.5943
0.5000 0.5000 0.8118
0.5000 0.5000 0.3685
```

N(E_F), states/eV per cell: 3.6
Total moment, μB/cell: 1.069
SG: P4mm

=====

<B>
DFT (meta-GGA SCAN) results for AsIr2Br at its PBEsol-relaxed geometry.

POSCAR file:
```
AsIr2Br
1.0
-1.4278 2.1588 5.4195
1.4278 -2.1588 5.4195
1.4278 2.1588 -5.4195
As Ir Br
1 2 1
direct
0.0000 0.0000 0.0000
0.5763 0.5763 0.0000
0.7959 0.2959 0.5000
0.2869 0.7869 0.5000
```

N(E_F), states/eV per cell: 3.9
Total moment, μB/cell: 0.000
SG: Imm2

=====

The structure with the least stability is <B>.

=====

<A>
DFT (meta-GGA SCAN) results for KAs2Br at its PBEsol-relaxed geometry.

POSCAR file:
```
KAs2Br
1.0
0.0000 2.8438 6.7917
2.8179 0.0000 6.7917
2.8179 2.8438 0.0000
K As Br
1 2 1
direct
0.0000 0.0000 0.0000
0.0000 0.5000 0.5000
0.5000 0.0000 0.0000
0.5000 0.5000 0.5000
```

N(E_F), states/eV per cell: 2.3
Total moment, μB/cell: 0.000
SG: Fmmm

=====

<B>
DFT (meta-GGA SCAN) results for KAs2Br at its PBEsol-relaxed geometry.

POSCAR file:
```
KAs2Br
1.0
3.1998 0.0000 0.0000
0.0000 3.1998 0.0000
0.0000 0.0000 9.0410
K As Br
1 2 1
direct
0.0000 0.0000 0.0000
0.5000 0.5000 0.2789
0.5000 0.5000 0.7210
0.0000 0.0000 0.5000
```

N(E_F), states/eV per cell: 2.2
Total moment, μB/cell: 0.000
SG: P4/mmm

=====

The structure with the least stability is <B>.

=====

<A>
DFT (meta-GGA SCAN) results for LaAsRuBr2 at its PBEsol-relaxed geometry.

POSCAR file:
```
LaAsRuBr2
1.0
4.8419 0.0000 0.0000
0.0000 4.8419 0.0000
0.0000 0.0000 5.3559
La As Ru Br
1 1 1 2
direct
0.0000 0.0000 0.0000
0.5000 0.5000 0.0000
0.0000 0.0000 0.5000
0.0000 0.5000 0.5000
0.5000 0.0000 0.5000
```

N(E_F), states/eV per cell: 2.6
Total moment, μB/cell: 0.000
SG: P4/mmm

=====

<B>
DFT (meta-GGA SCAN) results for LaAsRuBr2 at its PBEsol-relaxed geometry.

POSCAR file:
```
LaAsRuBr2
1.0
5.0279 0.0000 0.0000
0.0000 5.0279 0.0000
0.0000 0.0000 5.9590
La As Ru Br
1 1 1 2
direct
0.0000 0.0000 0.0000
0.0000 0.0000 0.5000
0.5000 0.5000 0.0000
0.0000 0.5000 0.5000
0.5000 0.0000 0.5000
```

N(E_F), states/eV per cell: 3.2
Total moment, μB/cell: 2.636
SG: P4/mmm

=====

The structure with the least stability is <B>.

=====

<A>
DFT (meta-GGA SCAN) results for LaTaAsBr2 at its PBEsol-relaxed geometry.

POSCAR file:
```
LaTaAsBr2
1.0
4.9974 0.0000 0.0000
0.0000 4.9974 0.0000
0.0000 0.0000 5.0424
La Ta As Br
1 1 1 2
direct
0.0000 0.0000 0.0000
0.5000 0.5000 0.5000
0.5000 0.5000 0.0000
0.0000 0.5000 0.5000
0.5000 0.0000 0.5000
```

N(E_F), states/eV per cell: 3.5
Total moment, μB/cell: 0.698
SG: P4/mmm

=====

<B>
DFT (meta-GGA SCAN) results for LaTaAsBr2 at its PBEsol-relaxed geometry.

POSCAR file:
```
LaTaAsBr2
1.0
5.5117 0.0000 0.0000
0.0000 5.5117 0.0000
0.0000 0.0000 5.9073
La Ta As Br
1 1 1 2
direct
0.0000 0.0000 0.0000
0.5000 0.5000 0.5000
0.0000 0.0000 0.5000
0.0000 0.5000 0.0000
0.5000 0.0000 0.0000
```

N(E_F), states/eV per cell: 9.5
Total moment, μB/cell: 2.995
SG: P4/mmm

=====

The structure with the least stability is <B>.